1.
A relaxed MnZnHg2 crystal, computed with GGA-PBE.

## Properties
Distance to the lowest polymorph of the same formula: 26.3 meV per atom
Spin magnetization: 3.82 μB/cell
Energy of formation: 0.231 eV per atom

a = 4.6134 Å, b = 3.2436 Å, c = 5.0396 Å
α = 89.98°, β = 90.00°, γ = 90.00°
Closest atoms and distances in Å follow each position.
Atoms (fractional coordinates):
1 Zn 0.5000 0.6245 0.7967  8 Hg 2.88-3.11, 2 Mn 2.90
2 Hg 0.5000 0.1256 0.3236  4 Zn 2.88-3.11, 4 Mn 2.89, 2 Hg 3.04
3 Mn 0.0000 0.6253 0.4490  8 Hg 2.89-3.08, 2 Zn 2.90
4 Hg 0.0000 0.1246 0.9308  4 Zn 2.90, 4 Mn 2.92-3.08, 4 Hg 3.04-3.24

2.
A relaxed La2Si3Ni12Ru crystal, computed with GGA-PBE.

## Properties
Spin magnetization: 1.43 μB/cell
E_form (uncorrected): 0.003 eV/atom

a = 6.3198 Å, b = 6.3198 Å, c = 6.3198 Å
α = 84.71°, β = 84.71°, γ = 84.71°
Closest atoms and distances in Å follow each position.
Atoms (fractional coordinates):
1 Ni 0.8095 0.3015 0.8095  1 Si 2.30, 3 Ni 2.36-2.50, 1 Ru 2.44, 1 La 2.50
2 Ni 0.1905 0.6985 0.1905  1 Si 2.30, 3 Ni 2.36-2.50, 1 Ru 2.44, 1 La 2.50
3 La 0.6521 0.6521 0.6521  6 Ni 2.50-2.74
4 Ni 0.0892 0.6189 0.6189  2 Ni 2.36-2.61, 2 Si 2.49
5 Ni 0.6189 0.0892 0.6189  2 Ni 2.36-2.61, 2 Si 2.49
6 Ni 0.1905 0.1905 0.6985  1 Si 2.30, 3 Ni 2.36-2.50, 1 Ru 2.44, 1 La 2.50
7 Ni 0.3015 0.8095 0.8095  1 Si 2.30, 3 Ni 2.36-2.50, 1 Ru 2.44, 1 La 2.50
8 Si 0.0000 0.5000 0.0000  6 Ni 2.30-2.49
9 Ni 0.6189 0.6189 0.0892  2 Ni 2.36-2.61, 2 Si 2.49
10 Ru 0.0000 0.0000 0.0000  6 Ni 2.44
11 Si 0.5000 0.0000 0.0000  6 Ni 2.30-2.49
12 Ni 0.6985 0.1905 0.1905  1 Si 2.30, 3 Ni 2.36-2.50, 1 Ru 2.44, 1 La 2.50
13 Ni 0.8095 0.8095 0.3015  1 Si 2.30, 3 Ni 2.36-2.50, 1 Ru 2.44, 1 La 2.50
14 Ni 0.3811 0.3811 0.9108  2 Ni 2.36-2.61, 2 Si 2.49
15 Ni 0.3811 0.9108 0.3811  2 Ni 2.36-2.61, 2 Si 2.49
16 La 0.3479 0.3479 0.3479  6 Ni 2.50-2.74
17 Si 0.0000 0.0000 0.5000  6 Ni 2.30-2.49
18 Ni 0.9108 0.3811 0.3811  2 Ni 2.36-2.61, 2 Si 2.49

3.
A relaxed UNbV crystal, computed with GGA-PBE.

## Properties
Distance to the lowest polymorph of the same formula: 452.8 meV per atom
Spin magnetization: 2.22 μB/cell
Energy of formation: 0.647 eV per atom

a = 3.0419 Å, b = 4.4089 Å, c = 8.9932 Å
α = 90.00°, β = 90.00°, γ = 90.00°
Closest atoms and distances in Å follow each position.
Atoms (fractional coordinates):
1 V 0.6636 0.5000 0.2500  2 U 2.47, 4 Nb 2.64-2.72
2 V 0.3364 0.5000 0.7500  2 U 2.47, 4 Nb 2.64-2.72
3 U 0.0000 0.5000 0.0000  2 V 2.47
4 Nb 0.8144 0.0000 0.7500  4 V 2.64-2.72
5 Nb 0.1856 0.0000 0.2500  4 V 2.64-2.72
6 U 0.0000 0.5000 0.5000  2 V 2.47

4.
A relaxed SrSnO2 crystal, computed with GGA-PBE.

## Properties
Spin magnetization: 0.00 μB/cell
E_form (uncorrected): -1.722 eV/atom

a = 5.4643 Å, b = 5.4643 Å, c = 6.9432 Å
α = 66.83°, β = 66.83°, γ = 90.00°
Closest atoms and distances in Å follow each position.
Atoms (fractional coordinates):
1 Sn 0.0000 0.0000 0.0000  4 O 2.37
2 Sr 0.2500 0.7500 0.5000  4 O 2.45
3 O 0.6369 0.1250 0.2500  2 Sn 2.37, 2 Sr 2.45
4 Sr 0.5000 0.5000 0.0000  4 O 2.45
5 O 0.1131 0.6250 0.2500  2 Sn 2.37, 2 Sr 2.45
6 O 0.3750 0.3631 0.7500  2 Sn 2.37, 2 Sr 2.45
7 Sn 0.7500 0.2500 0.5000  4 O 2.37
8 O 0.8750 0.8869 0.7500  2 Sn 2.37, 2 Sr 2.45

5.
A relaxed TiAs2HSe crystal, computed with GGA-PBE.

## Properties
Distance to the lowest polymorph of the same formula: 0.0 meV per atom
Spin magnetization: 0.00 μB/cell

a = 3.8871 Å, b = 3.8871 Å, c = 5.2593 Å
α = 90.00°, β = 90.00°, γ = 90.00°
Closest atoms and distances in Å follow each position.
Atoms (fractional coordinates):
1 As 0.5000 0.0000 0.0000  2 H 1.94
2 Ti 0.5000 0.5000 0.5000  4 Se 2.75
3 As 0.0000 0.5000 0.0000  2 H 1.94
4 Se 0.0000 0.0000 0.5000  2 H 2.63, 4 Ti 2.75
5 H 0.0000 0.0000 0.0000  4 As 1.94

6.
A relaxed Sc2NbW crystal, computed with GGA-PBE.

## Properties
Distance to the lowest polymorph of the same formula: 0.0 meV per atom
Spin magnetization: 0.00 μB/cell
Energy of formation: 0.460 eV per atom

a = 4.7641 Å, b = 4.7641 Å, c = 4.7641 Å
α = 60.00°, β = 60.00°, γ = 60.00°
Closest atoms and distances in Å follow each position.
Atoms (fractional coordinates):
1 W 0.5000 0.5000 0.5000  8 Sc 2.92
2 Nb 0.0000 0.0000 0.0000  8 Sc 2.92
3 Sc 0.7500 0.7500 0.7500  4 W 2.92, 4 Nb 2.92
4 Sc 0.2500 0.2500 0.2500  4 W 2.92, 4 Nb 2.92

7.
A relaxed HfTiAgPd crystal, computed with GGA-PBE.

## Properties
Distance to the lowest polymorph of the same formula: 164.9 meV per atom
Spin magnetization: 1.45 μB/cell
Energy of formation: -0.184 eV per atom

a = 4.6755 Å, b = 4.6755 Å, c = 4.6755 Å
α = 60.00°, β = 60.00°, γ = 60.00°
Closest atoms and distances in Å follow each position.
Atoms (fractional coordinates):
1 Hf 0.7500 0.7500 0.7500  4 Pd 2.86, 4 Ag 2.86
2 Ti 0.2500 0.2500 0.2500  4 Pd 2.86, 4 Ag 2.86
3 Pd 0.5000 0.5000 0.5000  4 Ti 2.86, 4 Hf 2.86
4 Ag 0.0000 0.0000 0.0000  4 Hf 2.86, 4 Ti 2.86

8.
A relaxed Y8ZnIr2 crystal, computed with GGA-PBE.

## Properties
Spin magnetization: 0.00 μB/cell
Energy of formation: -0.346 eV per atom

a = 5.5341 Å, b = 7.8555 Å, c = 7.8555 Å
α = 112.98°, β = 97.57°, γ = 97.57°
Closest atoms and distances in Å follow each position.
Atoms (fractional coordinates):
1 Y 0.9995 0.7614 0.2451  2 Ir 2.91, 1 Zn 3.17
2 Zn 0.0074 0.0017 0.0017  4 Y 3.17-3.19
3 Y 0.4122 0.9347 0.6732  2 Ir 2.87-2.89
4 Y 0.9995 0.2451 0.7614  2 Ir 2.91, 1 Zn 3.17
5 Y 0.5859 0.0720 0.3337  2 Ir 2.87-2.89
6 Y 0.4122 0.6732 0.9347  2 Ir 2.87-2.89
7 Ir 0.4992 0.6931 0.3135  8 Y 2.87-3.05
8 Ir 0.4992 0.3135 0.6931  8 Y 2.87-3.05
9 Y 0.8036 0.6261 0.6261  2 Ir 3.05, 1 Zn 3.18, 3 Y 3.39-3.41
10 Y 0.1949 0.3796 0.3796  2 Ir 3.05, 1 Zn 3.19, 3 Y 3.39-3.40
11 Y 0.5859 0.3337 0.0720  2 Ir 2.87-2.89

9.
A relaxed CeSm5Mg4 crystal, computed with GGA-PBE.

## Properties
Spin magnetization: 0.87 μB/cell
Energy of formation: -0.043 eV per atom

a = 3.7629 Å, b = 3.7629 Å, c = 20.6102 Å
α = 90.00°, β = 90.00°, γ = 90.00°
Closest atoms and distances in Å follow each position.
Atoms (fractional coordinates):
1 Mg 0.0000 0.0000 0.2113  8 Sm 3.35
2 Sm 0.5000 0.5000 0.8878  4 Mg 3.35, 4 Ce 3.53
3 Mg 0.0000 0.0000 0.5953  8 Sm 3.30-3.31
4 Ce 0.0000 0.0000 0.0000  8 Sm 3.53, 4 Ce 3.76
5 Mg 0.0000 0.0000 0.4047  8 Sm 3.30-3.31
6 Mg 0.0000 0.0000 0.7887  8 Sm 3.35
7 Sm 0.5000 0.5000 0.3098  8 Mg 3.30-3.35
8 Sm 0.5000 0.5000 0.1122  4 Mg 3.35, 4 Ce 3.53
9 Sm 0.5000 0.5000 0.5000  8 Mg 3.31
10 Sm 0.5000 0.5000 0.6902  8 Mg 3.30-3.35

10.
A relaxed Al2CuSb crystal, computed with GGA-PBE.

## Properties
Spin magnetization: 0.00 μB/cell
E_form (uncorrected): 0.197 eV/atom

a = 5.0818 Å, b = 5.0818 Å, c = 5.0818 Å
α = 134.54°, β = 126.49°, γ = 72.78°
Closest atoms and distances in Å follow each position.
Atoms (fractional coordinates):
1 Cu 0.5139 0.5139 0.0000  2 Al 2.67, 2 Sb 2.87
2 Al 0.9928 0.9928 0.0000  4 Al 2.88-3.03, 4 Sb 2.93-2.98, 4 Cu 3.02
3 Al 0.7348 0.2348 0.5000  2 Cu 2.67, 2 Al 2.88
4 Sb 0.2585 0.7585 0.5000  4 Cu 2.87-3.04, 8 Al 2.93-3.02

11.
A relaxed TiTe3Se crystal, computed with GGA-PBE.

## Properties
Distance to the lowest polymorph of the same formula: 0.0 meV per atom
Spin magnetization: 0.00 μB/cell
E_form (uncorrected): 0.131 eV/atom

a = 5.2591 Å, b = 5.2591 Å, c = 5.2591 Å
α = 90.00°, β = 90.00°, γ = 90.00°
Closest atoms and distances in Å follow each position.
Atoms (fractional coordinates):
1 Se 0.5000 0.5000 0.5000  12 Te 3.72
2 Ti 0.0000 0.0000 0.0000  6 Te 2.63
3 Te 0.0000 0.5000 0.0000  2 Ti 2.63
4 Te 0.0000 0.0000 0.5000  2 Ti 2.63
5 Te 0.5000 0.0000 0.0000  2 Ti 2.63

12.
A relaxed Tm3Pd2Au2 crystal, computed with GGA-PBE.

## Properties
Spin magnetization: 0.00 μB/cell
Energy of formation: -0.788 eV per atom

a = 4.8859 Å, b = 4.8706 Å, c = 8.5811 Å
α = 97.82°, β = 107.01°, γ = 120.74°
Closest atoms and distances in Å follow each position.
Atoms (fractional coordinates):
1 Pd 0.7015 0.7782 0.6441  1 Pd 2.69, 5 Tm 2.74-2.91
2 Au 0.8083 0.4507 0.1614  6 Tm 3.02-3.11, 3 Pd 3.06-3.27
3 Pd 0.2985 0.2218 0.3559  1 Pd 2.69, 5 Tm 2.74-2.91
4 Tm 0.3970 0.1162 0.6871  4 Pd 2.78-2.91, 3 Au 3.02-3.05
5 Tm 0.6030 0.8838 0.3129  4 Pd 2.78-2.91, 3 Au 3.02-3.05
6 Tm 0.0000 0.0000 0.0000  2 Pd 2.74, 2 Au 3.03
7 Au 0.1917 0.5493 0.8386  6 Tm 3.02-3.11, 3 Pd 3.06-3.27